A plane-wave DFT calculation with PBE with a Hubbard U was carried out for an optimized crystal structure of NpCoIO6.

Computed properties:
Density of states at the Fermi level, states/eV/f.u.: 7.3
Raw total energy, eV/atom: -6.762

Lattice parameters (Å, degrees): 5.584 5.584 8.927 90.00 90.00 120.00
Last column: magnetic moment on the atom in μB.
Positions (direct):
Co1 0.000 0.000 0.500  2.74
Co2 0.000 0.000 0.000  2.74
I1 0.333 0.667 0.250  0.03
I2 0.667 0.333 0.750  0.03
Np1 0.667 0.333 0.250  2.27
Np2 0.333 0.667 0.750  2.27
O1 0.003 0.664 0.371  -0.02
O2 0.664 0.661 0.629  -0.02
O3 0.997 0.336 0.629  -0.02
O4 0.661 0.664 0.129  -0.02
O5 0.339 0.003 0.629  -0.02
O6 0.661 0.997 0.371  -0.02
O7 0.997 0.661 0.871  -0.02
O8 0.003 0.339 0.129  -0.02
O9 0.339 0.336 0.871  -0.02
O10 0.336 0.339 0.371  -0.02
O11 0.336 0.997 0.129  -0.02
O12 0.664 0.003 0.871  -0.02